VASP calculation (PBE+U) on a relaxed TiCoN2F crystal.

Lattice parameters (Å, degrees): 3.9480 3.8306 3.9480 90.00 90.00 90.00
Positions (direct):
N 0.0000 0.0000 0.5000
N 0.5000 0.0000 0.0000
F 0.0000 0.5000 0.0000
Co 0.5000 0.5000 0.5000
Ti 0.0000 0.0000 0.0000

Calculated values
As for the electronic total energy: -6.660 eV per atom. The value obtained for the size of the total moment is 2.480 μB/f.u. The value obtained for the energy above the lowest structure with this stoichiometry is 0.00 eV/f.u. As for the density of states at the Fermi level: 0.3002 states/eV/atom.